Record 1
Entry from Alexandria via LeMat-Bulk: a relaxed La2PrHo4 crystal (GGA-PBE).

```
La2PrHo4
1.0
6.7903 0.0000 0.0000
-2.1312 8.1066 0.0000
-1.5969 -0.6640 8.6293
La Pr Ho
4 2 8
Direct
0.0000 0.0000 0.0000 La
0.1627 0.4781 0.4228 La
0.4870 0.0580 0.8637 La
0.7169 0.9157 0.5822 La
0.3161 0.7497 0.1502 Pr
0.6598 0.3768 0.5697 Pr
0.0781 0.7019 0.7381 Ho
0.1528 0.2949 0.7459 Ho
0.2212 0.0380 0.4358 Ho
0.4072 0.3497 0.1379 Ho
0.5743 0.6461 0.8704 Ho
0.7322 0.1116 0.2654 Ho
0.8126 0.6988 0.2700 Ho
0.8931 0.4060 0.0119 Ho
```

energy relative to the lowest polymorph listed for this composition = 0 meV per atom
symmetry = No. 1
energy of formation = 0.48 eV/f.u.

---

Record 2
Entry from Alexandria via LeMat-Bulk: a relaxed EuLuNi crystal (GGA-PBE).

```
EuLuNi
1.0
-1.7169 1.7169 6.2832
1.7169 -1.7169 6.2832
1.7169 1.7169 -6.2832
Eu Lu Ni
1 1 1
Direct
0.0000 0.0000 0.0000 Eu
0.2617 0.2617 0.0000 Lu
0.6556 0.6556 0.0000 Ni
```

symmetry = No. 107
energy of formation = -0.56 eV/f.u.

---

Record 3
Entry from Alexandria via LeMat-Bulk: a relaxed LiCrNi2Ir crystal (GGA-PBE).

```
LiCrNi2Ir
1.0
4.3173 0.0000 0.0000
0.0000 4.3173 0.0000
0.0000 0.0000 4.4374
Li Cr Ni Ir
1 1 2 1
Direct
0.0000 0.0000 0.0000 Li
0.5000 0.5000 0.5000 Cr
0.0000 0.5000 0.5000 Ni
0.5000 0.0000 0.5000 Ni
0.5000 0.5000 0.0000 Ir
```

symmetry = No. 123
energy of formation = 4.40 eV/f.u.

---

Record 4
Entry from Alexandria via LeMat-Bulk: a relaxed Gd2MgSb crystal (GGA-PBE).

```
Gd2MgSb
1.0
2.0891 1.2061 8.3782
-2.0891 1.2061 8.3782
0.0000 -2.4123 8.3782
Gd Mg Sb
2 1 1
Direct
0.2409 0.2409 0.2409 Gd
0.7591 0.7591 0.7591 Gd
0.0000 0.0000 0.0000 Mg
0.5000 0.5000 0.5000 Sb
```

energy relative to the lowest polymorph listed for this composition = 185 meV per atom
uncorrected formation energy = -0.4135 eV per atom
symmetry = No. 166

---

Record 5
Entry from Alexandria via LeMat-Bulk: a relaxed ScSb2Pd8 crystal (GGA-PBE).

```
ScSb2Pd8
1.0
7.4258 -2.0601 0.0000
7.4258 2.0601 0.0000
-2.4227 0.0000 6.1222
Sc Sb Pd
1 2 8
Direct
0.0000 0.0000 0.0000 Sc
0.3008 0.3008 0.3350 Sb
0.6992 0.6992 0.6650 Sb
0.0895 0.0895 0.4555 Pd
0.1752 0.1752 0.9284 Pd
0.3501 0.3501 0.7827 Pd
0.4639 0.4639 0.2547 Pd
0.5361 0.5361 0.7453 Pd
0.6499 0.6499 0.2173 Pd
0.8248 0.8248 0.0716 Pd
0.9105 0.9105 0.5445 Pd
```

energy relative to the lowest polymorph listed for this composition = 18 meV per atom
uncorrected formation energy = -0.5513 eV per atom
symmetry = No. 12

---

Record 6
Entry from Alexandria via LeMat-Bulk: a relaxed Ba2SrCu crystal (GGA-PBE).

```
Ba2SrCu
1.0
0.0000 4.2698 4.2698
4.2698 0.0000 4.2698
4.2698 4.2698 0.0000
Ba Sr Cu
2 1 1
Direct
0.0000 0.0000 0.0000 Ba
0.2500 0.2500 0.2500 Ba
0.7500 0.7500 0.7500 Sr
0.5000 0.5000 0.5000 Cu
```

energy relative to the lowest polymorph listed for this composition = 305 meV per atom
symmetry = No. 216
energy of formation = 1.26 eV/f.u.

---

Record 7
Entry from Alexandria via LeMat-Bulk: a relaxed Cr2CuRu crystal (GGA-PBE).

```
Cr2CuRu
1.0
2.5896 0.0000 0.0000
0.0000 2.5896 0.0000
0.0000 0.0000 7.5012
Cr Cu Ru
2 1 1
Direct
0.0000 0.0000 0.0000 Cr
0.5000 0.5000 0.2464 Cr
0.0000 0.0000 0.4960 Cu
0.5000 0.5000 0.7652 Ru
```

symmetry = No. 99
energy of formation = 1.14 eV/f.u.

---

Record 8
Entry from Alexandria via LeMat-Bulk: a relaxed NaAlCu3 crystal (GGA-PBE).

```
NaAlCu3
1.0
4.5232 0.0000 0.0000
0.0000 4.5232 0.0000
0.0000 0.0000 4.5232
Na Al Cu
1 1 3
Direct
0.0000 0.0000 0.0000 Na
0.5000 0.5000 0.5000 Al
0.0000 0.0000 0.5000 Cu
0.0000 0.5000 0.0000 Cu
0.5000 0.0000 0.0000 Cu
```

energy relative to the lowest polymorph listed for this composition = 761 meV per atom
symmetry = No. 221
energy of formation = 5.89 eV/f.u.

---

Record 9
Entry from Alexandria via LeMat-Bulk: a relaxed Li2La2Zn15 crystal (GGA-PBE).

```
Li2La2Zn15
1.0
4.5943 2.6525 4.4200
-4.5943 2.6525 4.4200
0.0000 -5.3050 4.4200
Li La Zn
2 2 15
Direct
0.0977 0.0977 0.0977 Li
0.9023 0.9023 0.9023 Li
0.3398 0.3398 0.3398 La
0.6602 0.6602 0.6602 La
0.0000 0.0000 0.5000 Zn
0.0000 0.2912 0.7088 Zn
0.0000 0.5000 0.0000 Zn
0.0000 0.7088 0.2912 Zn
0.1583 0.6511 0.6511 Zn
0.2912 0.0000 0.7088 Zn
0.2912 0.7088 0.0000 Zn
0.3489 0.3489 0.8417 Zn
0.3489 0.8417 0.3489 Zn
0.5000 0.0000 0.0000 Zn
0.6511 0.1583 0.6511 Zn
0.6511 0.6511 0.1583 Zn
0.7088 0.0000 0.2912 Zn
0.7088 0.2912 0.0000 Zn
0.8417 0.3489 0.3489 Zn
```

symmetry = No. 166
energy of formation = -5.28 eV/f.u.

---

Record 10
Entry from Alexandria via LeMat-Bulk: a relaxed Ta2AgSb crystal (GGA-PBE).

```
Ta2AgSb
1.0
4.9760 -1.8405 0.0000
4.9760 1.8405 0.0000
-1.8024 0.0000 4.1293
Ta Ag Sb
2 1 1
Direct
0.2465 0.2465 0.2482 Ta
0.7535 0.7535 0.7518 Ta
0.0000 0.0000 0.5000 Ag
0.5000 0.5000 0.0000 Sb
```

uncorrected formation energy = 0.2604 eV per atom
symmetry = No. 12

---

Record 11
Entry from Alexandria via LeMat-Bulk: a relaxed Ga2Se2Cl crystal (GGA-PBE).

```
Ga2Se2Cl
1.0
7.7029 0.0000 0.0000
0.0000 7.7029 0.0000
0.0000 0.0000 3.7112
Ga Se Cl
4 4 2
Direct
0.2060 0.2940 0.0000 Ga
0.2940 0.7940 0.0000 Ga
0.7060 0.2060 0.0000 Ga
0.7940 0.7060 0.0000 Ga
0.1414 0.6414 0.5000 Se
0.3586 0.1414 0.5000 Se
0.6414 0.8586 0.5000 Se
0.8586 0.3586 0.5000 Se
0.0000 0.0000 0.0000 Cl
0.5000 0.5000 0.0000 Cl
```

energy relative to the lowest polymorph listed for this composition = 276 meV per atom
uncorrected formation energy = -0.2513 eV per atom
symmetry = No. 127

---

Record 12
Entry from Alexandria via LeMat-Bulk: a relaxed Pm2CdGa3Ni4 crystal (GGA-PBE).

```
Pm2CdGa3Ni4
1.0
4.1443 0.0000 0.0000
0.0000 4.1443 0.0000
0.0000 0.0000 10.2981
Pm Cd Ga Ni
2 1 3 4
Direct
0.0000 0.5000 0.2377 Pm
0.5000 0.0000 0.7623 Pm
0.0000 0.0000 0.5000 Cd
0.0000 0.5000 0.8811 Ga
0.5000 0.0000 0.1189 Ga
0.5000 0.5000 0.5000 Ga
0.0000 0.0000 0.0000 Ni
0.0000 0.5000 0.6500 Ni
0.5000 0.0000 0.3500 Ni
0.5000 0.5000 0.0000 Ni
```

symmetry = No. 115
energy of formation = -4.53 eV/f.u.

---

Record order is preserved below.
N(E_F): 1.575; 1.561; 1.259; 1.501; 0.499; 1.078; 1.181; 0.390; 0.385; 0.441; 0.266; 0.784 states/eV per atom
Record order is preserved below.
Calculated volume: 475.0; 74.1; 82.7; 126.7; 187.3; 155.7; 50.3; 92.5; 323.2; 75.6; 220.2; 176.9 Å³ per cell